Entry 1:
Compound: GeCCl2
Source: Alexandria
Functional: GGA-PBE
Structure: optimized geometry

Cell: 6.676 6.676 6.676 Å, 90.00 90.00 90.00°
Space group Fm-3m (No. 225)
Asymmetric unit:
Ge (0.000, 0.000, 0.000) [4 per cell]
C (0.000, 0.000, 0.500) [4 per cell]
Cl (0.250, 0.250, 0.250) [8 per cell]

Summary:
energy relative to the elements, uncorrected	1.438	eV/atom
ρ	3.472	g/cm3
polymorph energy (0 for the lowest one)	0.107	eV/atom



Entry 2:
Compound: Ge3CCl
Source: Alexandria
Functional: GGA-PBE
Structure: optimized geometry

Cell: 4.584 4.584 4.584 Å, 90.00 90.00 90.00°
Space group Pm-3m (No. 221)
Asymmetric unit:
Ge (0.000, 0.000, 0.500) [3 per cell]
C (0.000, 0.000, 0.000) [1 per cell]
Cl (0.500, 0.500, 0.500) [1 per cell]

Summary:
energy relative to the elements, uncorrected	1.005	eV/atom
ρ	4.575	g/cm3
polymorph energy (0 for the lowest one)	0.000	eV/atom



Entry 3:
Compound: Ge3CCl
Source: Alexandria
Functional: GGA-PBE
Structure: optimized geometry

Cell: 4.922 4.922 4.922 Å, 90.00 90.00 90.00°
Space group Pm-3m (No. 221)
Asymmetric unit:
Ge (0.000, 0.000, 0.500) [3 per cell]
C (0.500, 0.500, 0.500) [1 per cell]
Cl (0.000, 0.000, 0.000) [1 per cell]

Summary:
energy relative to the elements, uncorrected	1.992	eV/atom
ρ	3.697	g/cm3
polymorph energy (0 for the lowest one)	0.987	eV/atom



Entry 4:
Compound: GeCCl2
Source: Alexandria
Functional: GGA-PBE
Structure: optimized geometry

Cell: 3.2896 3.2896 24.7087 Å, 90.00 90.00 120.00°
Space group R-3m (No. 166, hexagonal axes)
Asymmetric unit:
Ge (0.0000, 0.0000, 0.0000) [3 per cell]
C (0.0000, 0.0000, 0.5000) [3 per cell]
Cl (0.0000, 0.0000, 0.1103) [6 per cell]

Summary:
energy relative to the elements, uncorrected	1.332	eV/atom
ρ	3.346	g/cm3
polymorph energy (0 for the lowest one)	0.001	eV/atom